Record 1
Material: InTc2Ir
Method: DFT, PBE
State: relaxed

Output
ΔE_f (eV/atom): 0.17

```
InTc2Ir
1.0
2.801 0.000 0.000
0.000 2.801 0.000
0.000 0.000 8.103
In Tc Ir
1 2 1
Direct
0.000 0.000 0.000
0.500 0.500 0.269
0.500 0.500 0.731
0.000 0.000 0.500
```


Record 2
Material: InTc2Ir
Method: DFT, PBE
State: relaxed

Output
ΔE_f (eV/atom): 0.21

```
InTc2Ir
1.0
-1.975 1.975 4.053
1.975 -1.975 4.053
1.975 1.975 -4.053
In Tc Ir
1 2 1
Direct
0.000 0.000 0.000
0.250 0.750 0.500
0.500 0.500 0.000
0.750 0.250 0.500
```


Record 3
Material: InTcIr
Method: DFT, PBE
State: relaxed

Output
ΔE_f (eV/atom): 0.25
ΔE to the lowest computed polymorph (meV per atom): 254.3

```
InTcIr
1.0
0.000 3.059 3.059
3.059 0.000 3.059
3.059 3.059 0.000
In Tc Ir
1 1 1
Direct
0.000 0.000 0.000
0.500 0.500 0.500
0.750 0.750 0.750
```


Record 4
Material: InTc2Ir
Method: DFT, PBE
State: relaxed

Output
ΔE_f (eV/atom): 0.15

```
InTc2Ir
1.0
4.723 -1.428 0.000
4.723 1.428 0.000
-0.885 0.000 4.720
In Tc Ir
1 2 1
Direct
0.000 0.000 0.000
0.239 0.239 0.729
0.761 0.761 0.271
0.500 0.500 0.500
```


Record 5
Material: InTcIr
Method: DFT, PBE
State: relaxed

Output
ΔE_f (eV/atom): 0.18
ΔE to the lowest computed polymorph (meV per atom): 175.3

```
InTcIr
1.0
2.888 0.000 0.000
-1.444 2.501 0.000
0.000 0.000 6.855
In Tc Ir
1 1 1
Direct
0.000 0.000 0.000
0.667 0.333 0.650
0.333 0.667 0.352
```


Record 6
Material: InTc2Ir
Method: DFT, PBE
State: relaxed

Output
ΔE_f (eV/atom): 0.29

```
InTc2Ir
1.0
3.813 0.000 0.000
0.000 3.813 0.000
0.000 0.000 4.390
In Tc Ir
1 2 1
Direct
0.000 0.000 0.000
0.000 0.500 0.500
0.500 0.000 0.500
0.500 0.500 0.000
```


Record 7
Material: InTcIr
Method: DFT, PBE
State: relaxed

Output
ΔE_f (eV/atom): 0.00
ΔE to the lowest computed polymorph (meV per atom): 0.0

```
InTcIr
1.0
-1.435 1.435 5.995
1.435 -1.435 5.995
1.435 1.435 -5.995
In Tc Ir
1 1 1
Direct
0.000 0.000 0.000
0.679 0.679 0.000
0.320 0.320 0.000
```


Record 8
Material: InTc2Ir2
Method: DFT, PBE
State: relaxed

Output
ΔE_f (eV/atom): 0.13
ΔE to the lowest computed polymorph (meV per atom): 0.0

```
InTc2Ir2
1.0
7.654 0.000 0.000
0.000 7.654 0.000
0.000 0.000 2.792
In Tc Ir
2 4 4
Direct
0.000 0.000 0.000
0.500 0.500 0.000
0.172 0.328 0.500
0.328 0.828 0.500
0.672 0.172 0.500
0.828 0.672 0.500
0.123 0.623 0.000
0.377 0.123 0.000
0.623 0.877 0.000
0.877 0.377 0.000
```


Record 9
Material: In2TcIr2
Method: DFT, PBE
State: relaxed

Output
ΔE_f (eV/atom): 0.36

```
In2TcIr2
1.0
7.501 0.000 0.000
0.000 7.501 0.000
0.000 0.000 3.192
In Tc Ir
4 2 4
Direct
0.166 0.334 0.000
0.334 0.834 0.000
0.666 0.166 0.000
0.834 0.666 0.000
0.000 0.000 0.500
0.500 0.500 0.500
0.133 0.633 0.500
0.367 0.133 0.500
0.633 0.867 0.500
0.867 0.367 0.500
```


Record 10
Material: InTc2Ir
Method: DFT, PBE
State: relaxed

Output
ΔE_f (eV/atom): 0.23

```
InTc2Ir
1.0
1.419 0.819 9.137
-1.419 0.819 9.137
0.000 -1.638 9.137
In Tc Ir
1 2 1
Direct
0.000 0.000 0.000
0.245 0.245 0.245
0.755 0.755 0.755
0.500 0.500 0.500
```


Record 11
Material: InTc2Ir
Method: DFT, PBE
State: relaxed

Output
ΔE_f (eV/atom): 0.28

```
InTc2Ir
1.0
2.645 -4.232 0.000
2.645 4.232 0.000
0.000 0.000 2.840
In Tc Ir
1 2 1
Direct
0.000 0.000 0.000
0.000 0.500 0.500
0.500 0.000 0.500
0.500 0.500 0.000
```


Record 12
Material: InTc2Ir
Method: DFT, PBE
State: relaxed

Output
ΔE_f (eV/atom): 0.19

```
InTc2Ir
1.0
2.815 0.000 0.000
0.000 4.084 0.000
-0.005 0.000 5.603
In Tc Ir
1 2 1
Direct
0.000 0.000 0.000
0.497 0.500 0.719
0.503 0.500 0.281
0.000 0.000 0.500
```


Per-record total moment, μB per cell: 0.00; 0.00; 0.00; 0.00; 0.00; 0.00; 0.00; 0.00; 5.65; 0.00; 0.00; 0.00